Hf3RuS, relaxed, DFT PBE; energy relative to the lowest polymorph listed for this composition = 0 meV per atom; total magnetization = 0.000 μB per atom; density of states at the Fermi level = 3.37 states/eV per cell; raw formation energy = -141 meV per atom; space group = No. 221; crystal system = cubic
1.0
4.6658 0.0000 0.0000
0.0000 4.6658 0.0000
0.0000 0.0000 4.6658
Hf Ru S
3 1 1
direct
0.0000 0.0000 0.5000
0.0000 0.5000 0.0000
0.5000 0.0000 0.0000
0.5000 0.5000 0.5000
0.0000 0.0000 0.0000